(1)
LiCoH2 | PBE | optimized geometry

Geometry as POSCAR:
```
LiCoH2
1.0
2.5494 -0.1006 0.6175
1.2367 2.2333 0.6121
1.0540 0.6050 4.8677
H Li Co
2 1 1
Cartesian
2.0450 1.8248 3.5169 H
1.2242 1.3574 1.5278 H
2.8199 0.7273 4.9576 Li
2.2911 0.4238 2.5248 Co
```

## Properties
E_tot, eV per atom: -4.086
Total magnetization, μB per cell: 0.527
Fermi-level density of states, states/eV/cell: 2.15

=====

(2)
Li3Co5H12 | PBE | optimized geometry

Geometry as POSCAR:
```
Li3Co5H12
1.0
-6.6261 2.7923 -4.9346
4.9714 -5.4668 -4.6316
-3.1359 -4.1466 7.0018
H Co Li
48 20 12
Cartesian
-0.1995 -7.5000 -0.7329 H
-2.4805 -4.9328 2.4412 H
-5.2095 -1.6679 -0.1756 H
-2.4241 -4.9970 -1.4668 H
0.9885 -2.3024 -1.9632 H
-1.1947 -6.3756 -2.6779 H
-7.6309 -0.4933 -0.5592 H
-2.3101 -1.8883 -5.0056 H
-0.7932 -4.8795 -4.0129 H
-4.7800 -4.1113 2.1904 H
-0.6392 -4.9694 0.8668 H
-0.8312 -3.7335 -1.2483 H
-4.1165 -5.2717 0.6428 H
-0.6166 -7.9413 1.2198 H
0.6354 -6.2330 1.8468 H
2.8403 -6.3278 -2.0053 H
-1.1887 -2.5759 2.0328 H
3.6121 -5.3100 -3.8073 H
-4.1514 -1.8517 -3.4313 H
-1.1070 -2.8319 -8.0739 H
1.6989 -3.3978 -3.5370 H
-2.9475 -0.1356 -2.7354 H
-4.5911 0.6789 -1.8316 H
-6.4895 -3.4233 0.9726 H
-0.3492 -1.5343 0.2752 H
-2.9128 -2.8986 3.7501 H
0.4189 -5.1532 -2.3888 H
-5.4260 -0.5881 -4.4113 H
-5.7791 -4.5187 -0.6013 H
-1.8778 -3.9225 -6.3146 H
-4.1740 1.1202 -3.7843 H
-2.0903 -3.5248 -2.8461 H
-4.4414 -5.2868 -2.8397 H
-0.6741 -1.5494 -3.2073 H
-2.7003 -3.2963 0.2817 H
-3.9974 -1.9416 1.4484 H
-3.9716 -1.2081 -6.2924 H
-5.7743 -1.0783 -2.4568 H
-1.8431 -6.6855 0.1709 H
-3.5959 -0.4455 0.1135 H
-3.6836 -3.9891 5.5095 H
-0.0106 -2.7098 -4.7548 H
0.9837 -5.7428 -0.1077 H
-3.9594 -3.0876 -1.3161 H
-3.6019 -4.2451 -4.5973 H
-8.4027 -1.5110 1.2428 H
-0.8190 -5.6130 3.7279 H
-2.3665 -1.8241 -1.0977 H
-6.5150 -1.5150 -1.0996 Co
-1.7522 -3.9436 1.4056 Co
-0.5753 -4.0749 -5.3864 Co
-5.0427 -4.0834 -1.9612 Co
-1.5679 -2.0733 3.5009 Co
-7.0921 -2.2174 1.8467 Co
-4.2153 -2.7462 2.8219 Co
0.9178 -4.8067 1.1851 Co
-3.0384 -2.8775 -3.9701 Co
0.0000 0.0000 0.0000 Co
2.4857 -2.7334 -2.3158 Co
2.3015 -4.6037 -4.4111 Co
-4.8810 -0.6771 1.0336 Co
-3.1567 -5.9832 -0.4313 Co
-1.6339 -0.8379 -2.1332 Co
0.2520 -2.7377 -0.6032 Co
-0.8274 -1.3372 -4.7831 Co
1.7243 -5.3060 -1.4649 Co
-3.3131 1.3962 -2.4673 Co
-2.3953 -3.4105 -1.2822 Co
1.1698 -7.5444 0.5818 Li
-4.6290 -3.4148 0.4304 Li
-2.3293 -4.6459 4.3519 Li
-2.2111 -1.5402 0.8131 Li
-4.0744 -1.1765 -1.6164 Li
-0.1616 -3.4063 -2.9948 Li
-2.4613 -2.1752 -6.9163 Li
-2.5795 -5.2808 -3.3775 Li
-3.4973 -0.4741 -4.5626 Li
-5.9604 0.7233 -3.1463 Li
-1.2933 -6.3469 1.9982 Li
-0.7162 -5.6446 -0.9481 Li
```

## Properties
E_tot, eV per atom: -4.114
Total magnetization, μB per cell: 15.473
Fermi-level density of states, states/eV/cell: 32.02

=====

(3)
LiCoH3 | PBE | optimized geometry

Geometry as POSCAR:
```
LiCoH3
1.0
10.0557 0.0000 0.9100
3.9465 3.9024 -1.5165
-3.9465 3.9024 1.5165
Co H Li
4 12 4
Cartesian
5.5685 5.7779 1.4408 Co
4.4872 4.4894 -0.5308 Co
4.4872 2.0269 -0.5308 Co
5.5685 3.3154 1.4408 Co
0.8178 1.7662 -0.1448 H
3.7854 0.8594 0.1735 H
4.0630 3.1919 0.5919 H
8.8132 3.0430 0.6285 H
4.2100 5.6686 0.5998 H
9.0908 0.7105 1.0469 H
1.2424 4.7618 0.2815 H
6.2703 6.9454 0.7365 H
9.2378 6.0386 1.0548 H
5.8456 2.1362 0.3102 H
0.9649 7.0944 -0.1369 H
5.9927 4.6129 0.3181 H
2.0502 2.9441 0.4283 Li
2.9776 6.8465 0.0267 Li
7.0780 0.9583 0.8833 Li
8.0055 4.8607 0.4816 Li
```

## Properties
E_tot, eV per atom: -3.973
Total magnetization, μB per cell: 3.063
Fermi-level density of states, states/eV/cell: 11.68

=====

(4)
LiCo2H7 | PBE | optimized geometry

Geometry as POSCAR:
```
LiCo2H7
1.0
3.0086 0.0000 0.0000
0.0000 4.8137 -0.0711
0.0000 -2.2352 4.2639
H Co Li
7 2 1
Cartesian
1.5043 1.2893 2.0964 H
1.5043 -0.5232 1.4115 H
1.5043 1.0828 4.0230 H
0.0000 0.3355 2.6830 H
0.0000 2.2431 1.5098 H
1.5043 3.1018 2.7813 H
1.5043 1.4958 0.1699 H
1.5043 -0.0799 2.9384 Co
1.5043 2.6584 1.2544 Co
0.0000 0.0000 0.0000 Li
```

## Properties
E_tot, eV per atom: -3.972
Total magnetization, μB per cell: 0.185
Fermi-level density of states, states/eV/cell: 3.67